# 1
The following is a DFT calculation (PBE) of a relaxed UNb2Se crystal.

Values from the calculation:
- ΔE_f (raw): 0.2924 eV/atom
- DFT total energy: -8.436 eV per atom
- V: 236 Å³/cell

Cell and atoms, written as CIF:
```
data_UNb2Se
_cell_length_a 3.0714
_cell_length_b 3.0714
_cell_length_c 28.9392
_cell_angle_alpha 90.00
_cell_angle_beta 90.00
_cell_angle_gamma 120.00
_symmetry_space_group_name_H-M 'R -3 m'
_symmetry_Int_Tables_number 166
_symmetry_space_group_name_Hall '-R 3 2"'
loop_
_atom_site_label
_atom_site_type_symbol
_atom_site_fract_x
_atom_site_fract_y
_atom_site_fract_z
U1 U 0.0000 0.0000 0.0000
Nb1 Nb 0.0000 0.0000 0.0974
Se1 Se 0.0000 0.0000 0.5000
```

---

# 2
The following is a DFT calculation (PBE) of a relaxed KInBr3 crystal.

Values from the calculation:
- ΔE_f (raw): -1.1818 eV/atom
- DFT total energy: -2.953 eV per atom
- V: 877 Å³/cell

Cell and atoms, written as CIF:
```
data_KInBr3
_cell_length_a 8.434
_cell_length_b 7.650
_cell_length_c 14.851
_cell_angle_alpha 90.00
_cell_angle_beta 113.75
_cell_angle_gamma 90.00
_symmetry_space_group_name_H-M 'P 1 21/c 1'
_symmetry_Int_Tables_number 14
loop_
_symmetry_equiv_pos_as_xyz
'x,y,z'
'-x,-y,-z'
'-x,y+1/2,-z+1/2'
'x,-y+1/2,z+1/2'
loop_
_atom_site_label
_atom_site_type_symbol
_atom_site_fract_x
_atom_site_fract_y
_atom_site_fract_z
K1 K 0.202 0.081 0.178
In1 In 0.367 0.601 0.433
Br1 Br 0.139 0.047 0.776
Br2 Br 0.163 0.736 0.508
Br3 Br 0.496 0.655 0.859
```

---

# 3
The following is a DFT calculation (PBE) of a relaxed Tb2MgZn3Au4 crystal.

Values from the calculation:
- DFT total energy: -3.303 eV per atom
- V: 203 Å³/cell
- Formation enthalpy at 0 K: -506.0 kJ/mol of formula units

Cell and atoms, written as CIF:
```
data_Tb2MgZn3Au4
_cell_length_a 4.124
_cell_length_b 4.124
_cell_length_c 11.935
_cell_angle_alpha 90.00
_cell_angle_beta 90.00
_cell_angle_gamma 90.00
_symmetry_space_group_name_H-M 'P -4 m 2'
_symmetry_Int_Tables_number 115
loop_
_symmetry_equiv_pos_as_xyz
'x,y,z'
'y,-x,-z'
'-x,-y,z'
'-y,x,-z'
'-x,y,z'
'-y,-x,-z'
'x,-y,z'
'y,x,-z'
loop_
_atom_site_label
_atom_site_type_symbol
_atom_site_fract_x
_atom_site_fract_y
_atom_site_fract_z
Tb1 Tb 0.000 0.500 0.236
Mg1 Mg 0.000 0.000 0.500
Zn1 Zn 0.000 0.500 0.863
Zn2 Zn 0.500 0.500 0.500
Au1 Au 0.000 0.000 0.000
Au2 Au 0.000 0.500 0.651
Au3 Au 0.500 0.500 0.000
```

---

# 4
The following is a DFT calculation (PBE) of a relaxed Ac6NdPd4 crystal.

Values from the calculation:
- DFT total energy: -5.025 eV per atom
- V: 731 Å³/cell
- Formation enthalpy at 0 K: -490.6 kJ/mol of formula units

Cell and atoms, written as CIF:
```
data_Ac6NdPd4
_cell_length_a 8.605
_cell_length_b 9.544
_cell_length_c 9.883
_cell_angle_alpha 90.00
_cell_angle_beta 115.72
_cell_angle_gamma 90.00
_symmetry_space_group_name_H-M 'C 1 m 1'
_symmetry_Int_Tables_number 8
loop_
_symmetry_equiv_pos_as_xyz
'x,y,z'
'x,-y,z'
'x+1/2,y+1/2,z'
'x+1/2,-y+1/2,z'
loop_
_atom_site_label
_atom_site_type_symbol
_atom_site_fract_x
_atom_site_fract_y
_atom_site_fract_z
Ac1 Ac 0.000 0.000 0.000
Ac2 Ac 0.019 0.500 0.999
Ac3 Ac 0.341 0.251 0.665
Ac4 Ac 0.402 0.228 0.286
Nd1 Nd 0.053 0.000 0.588
Pd1 Pd 0.169 0.000 0.346
Pd2 Pd 0.195 0.500 0.346
Pd3 Pd 0.225 0.236 0.931
```

---

# 5
The following is a DFT calculation (PBE) of a relaxed Ba2LiAl12Ir3 crystal.

Values from the calculation:
- DFT total energy: -4.389 eV per atom
- V: 1452 Å³/cell
- Formation enthalpy at 0 K: -169.4 kJ/mol of formula units

Cell and atoms, written as CIF:
```
data_Ba2LiAl12Ir3
_cell_length_a 9.7324
_cell_length_b 9.7324
_cell_length_c 17.7069
_cell_angle_alpha 90.00
_cell_angle_beta 90.00
_cell_angle_gamma 120.00
_symmetry_space_group_name_H-M 'R -3 m'
_symmetry_Int_Tables_number 166
_symmetry_space_group_name_Hall '-R 3 2"'
loop_
_atom_site_label
_atom_site_type_symbol
_atom_site_fract_x
_atom_site_fract_y
_atom_site_fract_z
Ba1 Ba 0.0000 0.0000 0.1810
Li1 Li 0.0000 0.0000 0.5000
Al1 Al 0.0484 0.5242 0.1340
Al2 Al 0.1086 0.2171 0.6379
Ir1 Ir 0.0000 0.5000 0.0000
```

---

# 6
The following is a DFT calculation (PBE) of a relaxed Dy2Ag4Hg3 crystal.

Values from the calculation:
- DFT total energy: -2.526 eV per atom
- V: 816 Å³/cell
- Formation enthalpy at 0 K: -117.4 kJ/mol of formula units

Cell and atoms, written as CIF:
```
data_Dy2Ag4Hg3
_cell_length_a 5.891
_cell_length_b 16.912
_cell_length_c 8.194
_cell_angle_alpha 90.00
_cell_angle_beta 90.00
_cell_angle_gamma 90.00
_symmetry_space_group_name_H-M 'C m c e'
_symmetry_Int_Tables_number 64
_symmetry_space_group_name_Hall '-C 2ac 2'
loop_
_atom_site_label
_atom_site_type_symbol
_atom_site_fract_x
_atom_site_fract_y
_atom_site_fract_z
Dy1 Dy 0.000 0.097 0.106
Ag1 Ag 0.000 0.166 0.487
Ag2 Ag 0.250 0.072 0.750
Hg1 Hg 0.000 0.000 0.500
Hg2 Hg 0.250 0.244 0.750
```

---

# 7
The following is a DFT calculation (PBE) of a relaxed Er2PuCo3 crystal.

Values from the calculation:
- DFT total energy: -7.588 eV per atom
- V: 209 Å³/cell
- Formation enthalpy at 0 K: -72.4 kJ/mol of formula units

Cell and atoms, written as CIF:
```
data_Er2PuCo3
_cell_length_a 5.5217
_cell_length_b 5.5217
_cell_length_c 7.9192
_cell_angle_alpha 90.00
_cell_angle_beta 90.00
_cell_angle_gamma 120.00
_symmetry_space_group_name_H-M 'P 63/m m c'
_symmetry_Int_Tables_number 194
_symmetry_space_group_name_Hall '-P 6c 2c'
loop_
_atom_site_label
_atom_site_type_symbol
_atom_site_fract_x
_atom_site_fract_y
_atom_site_fract_z
Er1 Er 0.3333 0.6667 0.0614
Pu1 Pu 0.0000 0.0000 0.0000
Co1 Co 0.1786 0.3573 0.7500
```

---

# 8
The following is a DFT calculation (PBE) of a relaxed Ba2CaSn3Pt4 crystal.

Values from the calculation:
- DFT total energy: -5.016 eV per atom
- V: 255 Å³/cell
- Formation enthalpy at 0 K: -785.1 kJ/mol of formula units

Cell and atoms, written as CIF:
```
data_Ba2CaSn3Pt4
_cell_length_a 4.775
_cell_length_b 4.775
_cell_length_c 11.187
_cell_angle_alpha 90.00
_cell_angle_beta 90.00
_cell_angle_gamma 90.00
_symmetry_space_group_name_H-M 'P -4 m 2'
_symmetry_Int_Tables_number 115
loop_
_symmetry_equiv_pos_as_xyz
'x,y,z'
'y,-x,-z'
'-x,-y,z'
'-y,x,-z'
'-x,y,z'
'-y,-x,-z'
'x,-y,z'
'y,x,-z'
loop_
_atom_site_label
_atom_site_type_symbol
_atom_site_fract_x
_atom_site_fract_y
_atom_site_fract_z
Ba1 Ba 0.000 0.500 0.236
Ca1 Ca 0.000 0.000 0.500
Sn1 Sn 0.000 0.500 0.883
Sn2 Sn 0.500 0.500 0.500
Pt1 Pt 0.000 0.000 0.000
Pt2 Pt 0.000 0.500 0.640
Pt3 Pt 0.500 0.500 0.000
```

---

# 9
The following is a DFT calculation (PBE) of a relaxed MnNiP2 crystal.

Values from the calculation:
- DFT total energy: -6.724 eV per atom
- V: 46 Å³/cell
- Formation enthalpy at 0 K: -108.5 kJ/mol of formula units

Cell and atoms, written as CIF:
```
data_MnNiP2
_cell_length_a 2.810
_cell_length_b 4.322
_cell_length_c 3.815
_cell_angle_alpha 90.00
_cell_angle_beta 90.00
_cell_angle_gamma 90.00
_symmetry_space_group_name_H-M 'P m m 2'
_symmetry_Int_Tables_number 25
loop_
_symmetry_equiv_pos_as_xyz
'x,y,z'
'-x,-y,z'
'-x,y,z'
'x,-y,z'
loop_
_atom_site_label
_atom_site_type_symbol
_atom_site_fract_x
_atom_site_fract_y
_atom_site_fract_z
Mn1 Mn 0.000 0.000 0.000
Ni1 Ni 0.500 0.500 0.723
P1 P 0.000 0.500 0.225
P2 P 0.500 0.000 0.497
```

---

# 10
The following is a DFT calculation (PBE) of a relaxed PmNd3Sn4 crystal.

Values from the calculation:
- DFT total energy: -4.958 eV per atom
- V: 498 Å³/cell
- Formation enthalpy at 0 K: -443.7 kJ/mol of formula units

Cell and atoms, written as CIF:
```
data_PmNd3Sn4
_cell_length_a 3.727
_cell_length_b 7.253
_cell_length_c 18.426
_cell_angle_alpha 90.00
_cell_angle_beta 90.00
_cell_angle_gamma 90.00
_symmetry_space_group_name_H-M 'I m m m'
_symmetry_Int_Tables_number 71
_symmetry_space_group_name_Hall '-I 2 2'
loop_
_atom_site_label
_atom_site_type_symbol
_atom_site_fract_x
_atom_site_fract_y
_atom_site_fract_z
Pm1 Pm 0.000 0.000 0.000
Nd1 Nd 0.000 0.000 0.500
Nd2 Nd 0.000 0.500 0.287
Sn1 Sn 0.000 0.293 0.128
```

---

# 11
The following is a DFT calculation (PBE) of a relaxed SbIrRh crystal.

Values from the calculation:
- ΔE_f (raw): 0.1458 eV/atom
- DFT total energy: -6.632 eV per atom
- V: 100 Å³/cell

Cell and atoms, written as CIF:
```
data_SbIrRh
_cell_length_a 3.003
_cell_length_b 3.468
_cell_length_c 9.603
_cell_angle_alpha 90.00
_cell_angle_beta 90.00
_cell_angle_gamma 90.00
_symmetry_space_group_name_H-M 'I m m 2'
_symmetry_Int_Tables_number 44
loop_
_symmetry_equiv_pos_as_xyz
'x,y,z'
'-x,-y,z'
'-x,y,z'
'x,-y,z'
'x+1/2,y+1/2,z+1/2'
'-x+1/2,-y+1/2,z+1/2'
'-x+1/2,y+1/2,z+1/2'
'x+1/2,-y+1/2,z+1/2'
loop_
_atom_site_label
_atom_site_type_symbol
_atom_site_fract_x
_atom_site_fract_y
_atom_site_fract_z
Sb1 Sb 0.000 0.000 0.000
Ir1 Ir 0.000 0.000 0.345
Rh1 Rh 0.000 0.000 0.654
```

---

# 12
The following is a DFT calculation (PBE) of a relaxed Tb6PmNd2Ho crystal.

Values from the calculation:
- DFT total energy: -4.545 eV per atom
- V: 1326 Å³/cell
- Formation enthalpy at 0 K: 115.8 kJ/mol of formula units

Cell and atoms, written as CIF:
```
data_Tb6PmNd2Ho
_cell_length_a 9.058
_cell_length_b 15.132
_cell_length_c 9.805
_cell_angle_alpha 90.00
_cell_angle_beta 99.34
_cell_angle_gamma 90.00
_symmetry_space_group_name_H-M 'C 1 2/c 1'
_symmetry_Int_Tables_number 15
loop_
_symmetry_equiv_pos_as_xyz
'x,y,z'
'-x,-y,-z'
'-x,y,-z+1/2'
'x,-y,z+1/2'
'x+1/2,y+1/2,z'
'-x+1/2,-y+1/2,-z'
'-x+1/2,y+1/2,-z+1/2'
'x+1/2,-y+1/2,z+1/2'
loop_
_atom_site_label
_atom_site_type_symbol
_atom_site_fract_x
_atom_site_fract_y
_atom_site_fract_z
Tb1 Tb 0.066 0.189 0.443
Tb2 Tb 0.104 0.396 0.621
Tb3 Tb 0.198 0.224 0.814
Pm1 Pm 0.000 0.405 0.250
Nd1 Nd 0.241 0.052 0.041
Ho1 Ho 0.000 0.018 0.750
```